one | Below is a relaxed structure of Li12CdPd6, with properties calculated at the PBE level.

Calculated values
The total magnetic moment comes out at 0.00 Bohr magnetons per cell. The density is 4.53 g/cm³. The volume comes out at 16.077 Å³/atom.

a b c (Å): 9.5696 9.5696 11.5550
angles (deg): 90.00 90.00 120.00
Space group R-3 (No. 148, hexagonal axes)
Symmetry-distinct sites (fractional):
Li (0.0338, 0.2013, 0.3141) x18
Li (0.0635, 0.8375, 0.9154) x18
Cd (0.0000, 0.0000, 0.5000) x3
Pd (0.0156, 0.4346, 0.2020) x18

---

two | Below is a relaxed structure of Li12CdPd6, with properties calculated at the PBE level.

Calculated values
The total magnetic moment comes out at 0.00 Bohr magnetons per cell. The density is 4.82 g/cm³. The volume comes out at 15.138 Å³/atom.

a b c (Å): 11.3644 11.3644 7.7147
angles (deg): 90.00 90.00 120.00
Space group R-3 (No. 148, hexagonal axes)
Symmetry-distinct sites (fractional):
Li (0.0471, 0.2115, 0.4087) x18
Li (0.0560, 0.2546, 0.0863) x18
Cd (0.0000, 0.0000, 0.0000) x3
Pd (0.0440, 0.2276, 0.7581) x18

---

Relative energies, in eV/atom, with the most stable structure set to zero: one 0.000; two 0.056.

---

one | Below is a relaxed structure of Li3Pm2Cd4, with properties calculated at the PBE level.

Calculated values
The total magnetic moment comes out at 0.00 Bohr magnetons per cell. The density is 6.07 g/cm³. The volume comes out at 23.118 Å³/atom.

a b c (Å): 6.116 16.131 8.435
angles (deg): 90.00 90.00 90.00
Space group Cmce (No. 64)
Symmetry-distinct sites (fractional):
Li (0.000, 0.000, 0.000) x4
Li (0.250, 0.222, 0.250) x8
Pm (0.000, 0.114, 0.586) x8
Cd (0.000, 0.181, 0.973) x8
Cd (0.250, 0.052, 0.250) x8

---

two | Below is a relaxed structure of Li3Pm2Cd4, with properties calculated at the PBE level.

Calculated values
The total magnetic moment comes out at 0.00 Bohr magnetons per cell. The density is 6.14 g/cm³. The volume comes out at 22.845 Å³/atom.

a b c (Å): 10.225 4.913 8.563
angles (deg): 90.00 107.05 90.00
Space group C2/m (No. 12)
Symmetry-distinct sites (fractional):
Li (0.000, 0.000, 0.000) x2
Li (0.127, 0.500, 0.530) x4
Pm (0.247, 0.500, 0.219) x4
Cd (0.071, 0.500, 0.841) x4
Cd (0.082, 0.000, 0.365) x4

---

Relative energies, in eV/atom, with the most stable structure set to zero: one 0.020; two 0.000.

---

one | Below is a relaxed structure of LiPm2Cd2, with properties calculated at the PBE level.

Calculated values
The total magnetic moment comes out at 0.00 Bohr magnetons per cell. The density is 6.38 g/cm³. The volume comes out at 27.164 Å³/atom.

a b c (Å): 7.149 13.023 5.835
angles (deg): 90.00 90.00 90.00
Space group Ibam (No. 72)
Symmetry-distinct sites (fractional):
Li (0.000, 0.000, 0.250) x4
Pm (0.202, 0.316, 0.000) x8
Cd (0.197, 0.430, 0.500) x8

---

two | Below is a relaxed structure of LiPm2Cd2, with properties calculated at the PBE level.

Calculated values
The total magnetic moment comes out at 0.00 Bohr magnetons per cell. The density is 6.77 g/cm³. The volume comes out at 25.601 Å³/atom.

a b c (Å): 12.899 6.601 6.092
angles (deg): 90.00 99.18 90.00
Space group C2/c (No. 15)
Symmetry-distinct sites (fractional):
Li (0.000, 0.023, 0.250) x4
Pm (0.124, 0.360, 0.571) x8
Cd (0.160, 0.140, 0.061) x8

---

Relative energies, in eV/atom, with the most stable structure set to zero: one 0.073; two 0.000.

---

one | Below is a relaxed structure of LiPmCd3, with properties calculated at the PBE level.

Calculated values
The total magnetic moment comes out at 0.00 Bohr magnetons per cell. The density is 7.03 g/cm³. The volume comes out at 23.109 Å³/atom.

a b c (Å): 4.871 4.871 4.871
angles (deg): 90.00 90.00 90.00
Space group Pm-3m (No. 221)
Symmetry-distinct sites (fractional):
Li (0.000, 0.000, 0.000) x1
Pm (0.500, 0.500, 0.500) x1
Cd (0.000, 0.000, 0.500) x3

---

two | Below is a relaxed structure of LiPmCd3, with properties calculated at the PBE level.

Calculated values
The total magnetic moment comes out at 0.00 Bohr magnetons per cell. The density is 7.09 g/cm³. The volume comes out at 22.921 Å³/atom.

a b c (Å): 6.8821 6.8821 5.5879
angles (deg): 90.00 90.00 120.00
Space group P6_3/mmc (No. 194)
Symmetry-distinct sites (fractional):
Li (0.0000, 0.0000, 0.0000) x2
Pm (0.3333, 0.6667, 0.2500) x2
Cd (0.1877, 0.3753, 0.7500) x6

---

three | Below is a relaxed structure of LiPmCd3, with properties calculated at the PBE level.

Calculated values
The total magnetic moment comes out at 0.00 Bohr magnetons per cell. The density is 6.87 g/cm³. The volume comes out at 23.662 Å³/atom.

a b c (Å): 4.395 4.395 12.252
angles (deg): 90.00 90.00 90.00
Space group I4mm (No. 107)
Symmetry-distinct sites (fractional):
Li (0.000, 0.000, 0.000) x2
Pm (0.000, 0.000, 0.391) x2
Cd (0.000, 0.000, 0.791) x2
Cd (0.000, 0.500, 0.127) x4

---

Relative energies, in eV/atom, with the most stable structure set to zero: one 0.104; two 0.000; three 0.043.

---

one | Below is a relaxed structure of LiPm2Cd6, with properties calculated at the PBE level.

Calculated values
The total magnetic moment comes out at 0.00 Bohr magnetons per cell. The density is 7.48 g/cm³. The volume comes out at 23.958 Å³/atom.

a b c (Å): 6.6509 6.6509 5.6286
angles (deg): 90.00 90.00 120.00
Space group P-3m1 (No. 164)
Symmetry-distinct sites (fractional):
Li (0.0000, 0.0000, 0.0000) x1
Pm (0.3333, 0.6667, 0.1942) x2
Cd (0.1774, 0.3549, 0.6989) x6

---

two | Below is a relaxed structure of LiPm2Cd6, with properties calculated at the PBE level.

Calculated values
The total magnetic moment comes out at 0.00 Bohr magnetons per cell. The density is 7.51 g/cm³. The volume comes out at 23.854 Å³/atom.

a b c (Å): 12.099 6.644 5.378
angles (deg): 90.00 96.63 90.00
Space group C2/m (No. 12)
Symmetry-distinct sites (fractional):
Li (0.000, 0.000, 0.000) x2
Pm (0.148, 0.500, 0.204) x4
Cd (0.100, 0.236, 0.693) x8
Cd (0.194, 0.000, 0.259) x4

---

Relative energies, in eV/atom, with the most stable structure set to zero: one 0.005; two 0.000.

---

one | Below is a relaxed structure of Li2PrCd, with properties calculated at the PBE level.

Calculated values
The total magnetic moment comes out at 0.00 Bohr magnetons per cell. The density is 4.46 g/cm³. The volume comes out at 24.853 Å³/atom.

a b c (Å): 4.842 4.842 4.241
angles (deg): 90.00 90.00 90.00
Space group P4/mmm (No. 123)
Symmetry-distinct sites (fractional):
Li (0.000, 0.500, 0.000) x2
Pr (0.000, 0.000, 0.500) x1
Cd (0.500, 0.500, 0.500) x1

---

two | Below is a relaxed structure of Li2PrCd, with properties calculated at the PBE level.

Calculated values
The total magnetic moment comes out at 0.00 Bohr magnetons per cell. The density is 4.94 g/cm³. The volume comes out at 22.448 Å³/atom.

a b c (Å): 7.108 7.108 7.108
angles (deg): 90.00 90.00 90.00
Space group Fm-3m (No. 225)
Symmetry-distinct sites (fractional):
Li (0.250, 0.250, 0.250) x8
Pr (0.000, 0.000, 0.000) x4
Cd (0.000, 0.000, 0.500) x4

---

three | Below is a relaxed structure of Li2PrCd, with properties calculated at the PBE level.

Calculated values
The total magnetic moment comes out at 0.00 Bohr magnetons per cell. The density is 4.78 g/cm³. The volume comes out at 23.215 Å³/atom.

a b c (Å): 3.547 3.547 7.381
angles (deg): 90.00 90.00 90.00
Space group P4/mmm (No. 123)
Symmetry-distinct sites (fractional):
Li (0.000, 0.000, 0.193) x2
Pr (0.500, 0.500, 0.500) x1
Cd (0.500, 0.500, 0.000) x1

---

four | Below is a relaxed structure of Li2PrCd, with properties calculated at the PBE level.

Calculated values
The total magnetic moment comes out at 0.00 Bohr magnetons per cell. The density is 4.71 g/cm³. The volume comes out at 23.557 Å³/atom.

a b c (Å): 7.967 5.267 8.983
angles (deg): 90.00 90.00 90.00
Space group Pnma (No. 62)
Symmetry-distinct sites (fractional):
Li (0.049, 0.250, 0.060) x4
Li (0.202, 0.250, 0.473) x4
Pr (0.124, 0.750, 0.295) x4
Cd (0.132, 0.750, 0.666) x4

---

Relative energies, in eV/atom, with the most stable structure set to zero: one 0.155; two 0.022; three 0.061; four 0.000.

---

one | Below is a relaxed structure of LiPr2Cd5, with properties calculated at the PBE level.

Calculated values
The total magnetic moment comes out at 0.00 Bohr magnetons per cell. The density is 7.17 g/cm³. The volume comes out at 24.647 Å³/atom.

a b c (Å): 4.975 4.975 15.930
angles (deg): 90.00 90.00 90.00
Space group I4/mmm (No. 139)
Symmetry-distinct sites (fractional):
Li (0.000, 0.000, 0.000) x2
Pr (0.000, 0.000, 0.256) x4
Cd (0.000, 0.000, 0.500) x2
Cd (0.000, 0.500, 0.107) x8

---

two | Below is a relaxed structure of LiPr2Cd5, with properties calculated at the PBE level.

Calculated values
The total magnetic moment comes out at 0.00 Bohr magnetons per cell. The density is 6.83 g/cm³. The volume comes out at 25.858 Å³/atom.

a b c (Å): 4.720 17.605 9.959
angles (deg): 90.00 90.00 90.00
Space group Cmcm (No. 63)
Symmetry-distinct sites (fractional):
Li (0.000, 0.047, 0.250) x4
Pr (0.000, 0.307, 0.750) x4
Pr (0.000, 0.500, 0.000) x4
Cd (0.000, 0.101, 0.750) x4
Cd (0.000, 0.136, 0.035) x8
Cd (0.000, 0.306, 0.101) x8

---

Relative energies, in eV/atom, with the most stable structure set to zero: one 0.000; two 0.028.

---

one | Below is a relaxed structure of Li2PrCd6, with properties calculated at the PBE level.

Calculated values
The total magnetic moment comes out at 0.09 Bohr magnetons per cell. The density is 6.54 g/cm³. The volume comes out at 23.409 Å³/atom.

a b c (Å): 8.7784 8.7784 3.1569
angles (deg): 90.00 90.00 120.00
Space group P6/mmm (No. 191)
Symmetry-distinct sites (fractional):
Li (0.3333, 0.6667, 0.0000) x2
Pr (0.0000, 0.0000, 0.0000) x1
Cd (0.0000, 0.3404, 0.5000) x6

---

two | Below is a relaxed structure of Li2PrCd6, with properties calculated at the PBE level.

Calculated values
The total magnetic moment comes out at 0.00 Bohr magnetons per cell. The density is 5.61 g/cm³. The volume comes out at 27.293 Å³/atom.

a b c (Å): 6.0558 6.0558 7.7344
angles (deg): 90.00 90.00 120.00
Space group P6/mmm (No. 191)
Symmetry-distinct sites (fractional):
Li (0.3333, 0.6667, 0.0000) x2
Pr (0.0000, 0.0000, 0.5000) x1
Cd (0.0000, 0.5000, 0.3029) x6

---

Relative energies, in eV/atom, with the most stable structure set to zero: one 0.000; two 0.147.

---

one | Below is a relaxed structure of LiPrCd6, with properties calculated at the PBE level.

Calculated values
The total magnetic moment comes out at 0.00 Bohr magnetons per cell. The density is 7.28 g/cm³. The volume comes out at 23.457 Å³/atom.

a b c (Å): 4.697 4.697 8.504
angles (deg): 90.00 90.00 90.00
Space group P4/mmm (No. 123)
Symmetry-distinct sites (fractional):
Li (0.000, 0.000, 0.000) x1
Pr (0.000, 0.000, 0.500) x1
Cd (0.000, 0.500, 0.228) x4
Cd (0.500, 0.500, 0.000) x1
Cd (0.500, 0.500, 0.500) x1

---

two | Below is a relaxed structure of LiPrCd6, with properties calculated at the PBE level.

Calculated values
The total magnetic moment comes out at 0.00 Bohr magnetons per cell. The density is 7.07 g/cm³. The volume comes out at 24.143 Å³/atom.

a b c (Å): 4.531 4.531 9.409
angles (deg): 90.00 90.00 90.00
Space group P4/mmm (No. 123)
Symmetry-distinct sites (fractional):
Li (0.000, 0.000, 0.000) x1
Pr (0.000, 0.000, 0.500) x1
Cd (0.000, 0.500, 0.165) x4
Cd (0.500, 0.500, 0.356) x2

---

Relative energies, in eV/atom, with the most stable structure set to zero: one 0.000; two 0.079.

---

one | Below is a relaxed structure of LiPrCd3, with properties calculated at the PBE level.

Calculated values
The total magnetic moment comes out at 0.00 Bohr magnetons per cell. The density is 6.82 g/cm³. The volume comes out at 23.638 Å³/atom.

a b c (Å): 4.907 4.907 4.907
angles (deg): 90.00 90.00 90.00
Space group Pm-3m (No. 221)
Symmetry-distinct sites (fractional):
Li (0.000, 0.000, 0.000) x1
Pr (0.500, 0.500, 0.500) x1
Cd (0.000, 0.000, 0.500) x3

---

two | Below is a relaxed structure of LiPrCd3, with properties calculated at the PBE level.

Calculated values
The total magnetic moment comes out at 0.00 Bohr magnetons per cell. The density is 6.64 g/cm³. The volume comes out at 24.252 Å³/atom.

a b c (Å): 6.604 11.475 6.401
angles (deg): 90.00 90.00 90.00
Space group Cmcm (No. 63)
Symmetry-distinct sites (fractional):
Li (0.000, 0.105, 0.250) x4
Pr (0.000, 0.231, 0.750) x4
Cd (0.000, 0.330, 0.250) x4
Cd (0.231, 0.500, 0.000) x8

---

Relative energies, in eV/atom, with the most stable structure set to zero: one 0.055; two 0.000.